# PBE with a Hubbard U K2CoBO4, relaxed
# theoretical density	2.73	g cm⁻³
# uncorrected energy	-5.81	eV per atom
# symmetry	No. 70
data_K2CoBO4
_chemical_formula_sum 'K4 Co2 B2 O8'
_symmetry_space_group_name_H-M 'P 1'
_symmetry_Int_Tables_number 1
_cell_length_a 11.4571
_cell_length_b 10.2797
_cell_length_c 6.0238
_cell_angle_alpha 85.05
_cell_angle_beta 63.37
_cell_angle_gamma 31.59
loop_
_symmetry_equiv_pos_as_xyz
'x,y,z'
loop_
_atom_site_label
_atom_site_type_symbol
_atom_site_fract_x
_atom_site_fract_y
_atom_site_fract_z
K1 K 0.0490 0.0490 0.7010
K2 K 0.2990 0.2990 0.9510
K3 K 0.7010 0.7010 0.0490
K4 K 0.9510 0.9510 0.2990
Co1 Co 0.1250 0.1250 0.1250
Co2 Co 0.8750 0.8750 0.8750
B1 B 0.3750 0.3750 0.3750
B2 B 0.6250 0.6250 0.6250
O1 O 0.0583 0.6086 0.5332
O2 O 0.2999 0.5332 0.6086
O3 O 0.3914 0.9417 0.7001
O4 O 0.4668 0.7001 0.9417
O5 O 0.5332 0.2999 0.0583
O6 O 0.6086 0.0583 0.2999
O7 O 0.7001 0.4668 0.3914
O8 O 0.9417 0.3914 0.4668